Density functional theory data (SCAN) for La2AgRu at its PBEsol-relaxed geometry.

Results
Size of the total moment   0.0 μB/cell
DFT formation energy   -0.28 eV per atom

Cell: 4.2179 4.2505 5.9103 Å, 90.00 110.91 90.00°
Last column: nearest neighbours and their distance in Å.
Element x y z (fractional)
1 La 0.9574 0.0000 0.9148  1 Ru 2.41
2 La 0.2522 0.5000 0.5043  4 Ru 3.00, 3 Ag 3.08-3.28
3 Ru 0.7393 0.0000 0.4786  1 La 2.41
4 Ag 0.5488 0.5000 0.0976  2 Ru 2.99, 7 La 3.08-3.28